A geometry-optimized Rb3NaCu2As2 structure. Source: the Open Quantum Materials Database, functional PBE.

Properties
- SG: No. 6
- Mass density: 3.89 g/cm3
- E_tot: -23.35 eV per cell

Cell and atoms, written as CIF:
```
data_Rb3NaCu2As2
_chemical_formula_sum 'Rb3 Na1 Cu2 As2'
_space_group_name_H-M_alt 'P 1'
_space_group_IT_number 1
_cell_length_a 6.4299
_cell_length_b 5.8872
_cell_length_c 6.4916
_cell_angle_alpha 90.00
_cell_angle_beta 104.93
_cell_angle_gamma 90.00
loop_
_space_group_symop_operation_xyz
'x,y,z'
loop_
_atom_site_label
_atom_site_fract_x
_atom_site_fract_y
_atom_site_fract_z
Rb1 0.0276 0.5000 0.6791
Rb2 0.9522 0.0000 0.3100
Rb3 0.3125 0.0000 0.9895
As1 0.3178 0.5000 0.2621
As2 0.7370 0.0000 0.7630
Cu1 0.5092 0.2419 0.5155
Cu2 0.5092 0.7581 0.5155
Na1 0.6345 0.5000 0.9653
```